--- w ---
The following is a PBE calculation of a relaxed Li2Ga2Ag5 crystal, from Alexandria via LeMat-Bulk.

a b c (Å): 16.507 6.689 5.652
angles (deg): 90.00 90.00 90.00
Space group Ima2 (No. 46)
Inequivalent atoms, fractional coordinates:
Li  0.048  0.121  0.000 (multiplicity 8)
Ga  0.000  0.000  0.500 (multiplicity 4)
Ga  0.250  0.539  0.997 (multiplicity 4)
Ag  0.103  0.750  0.250 (multiplicity 8)
Ag  0.164  0.248  0.748 (multiplicity 8)
Ag  0.250  0.573  0.499 (multiplicity 4)

--- x ---
The following is a PBE calculation of a relaxed Li2Ga2Ag5 crystal, from Alexandria via LeMat-Bulk.

a b c (Å): 12.446 8.639 5.968
angles (deg): 90.00 90.29 90.00
Space group Cc (No. 9)
Inequivalent atoms, fractional coordinates:
Li  0.000  0.235  0.000 (multiplicity 4)
Li  0.247  0.247  0.752 (multiplicity 4)
Ga  0.002  0.231  0.506 (multiplicity 4)
Ga  0.260  0.252  0.251 (multiplicity 4)
Ag  0.005  0.499  0.253 (multiplicity 4)
Ag  0.115  0.012  0.241 (multiplicity 4)
Ag  0.196  0.499  0.006 (multiplicity 4)
Ag  0.313  0.001  0.498 (multiplicity 4)
Ag  0.393  0.499  0.765 (multiplicity 4)

The least stable of them is w.